[1]
The following is a PBE-GGA calculation of Th6Ge2Sb3As after structural relaxation, from the Alexandria database.

Geometry as CIF:
```
data_Th6Ge2Sb3As
_chemical_formula_sum 'Th12 Ge4 Sb6 As2'
_symmetry_space_group_name_H-M 'C 1 2/m 1'
_symmetry_Int_Tables_number 12
_symmetry_space_group_name_Hall '-C 2y'
_cell_length_a 19.273
_cell_length_b 4.371
_cell_length_c 8.851
_cell_angle_alpha 90.00
_cell_angle_beta 104.38
_cell_angle_gamma 90.00
loop_
_atom_site_label
_atom_site_type_symbol
_atom_site_fract_x
_atom_site_fract_y
_atom_site_fract_z
Th1 Th 0.005 0.000 0.238
Th2 Th 0.162 0.500 0.096
Th3 Th 0.172 0.500 0.571
Ge1 Ge 0.166 0.000 0.332
Sb1 Sb 0.000 0.500 0.500
Sb2 Sb 0.166 0.000 0.833
As1 As 0.000 0.500 0.000
```

Values from the calculation:
* final energy: -82.453 eV/f.u.
* magnetization: 0.00 Bohr magnetons per cell

=====

[2]
The following is a PBE-GGA calculation of Y2FeTcSb after structural relaxation, from the Alexandria database.

Geometry as CIF:
```
data_Y2FeTcSb
_chemical_formula_sum 'Y2 Fe1 Tc1 Sb1'
_symmetry_space_group_name_H-M 'P 4/m m m'
_symmetry_Int_Tables_number 123
_symmetry_space_group_name_Hall '-P 4 2'
_cell_length_a 5.390
_cell_length_b 5.390
_cell_length_c 4.388
_cell_angle_alpha 90.00
_cell_angle_beta 90.00
_cell_angle_gamma 90.00
loop_
_atom_site_label
_atom_site_type_symbol
_atom_site_fract_x
_atom_site_fract_y
_atom_site_fract_z
Y1 Y 0.000 0.500 0.000
Fe1 Fe 0.000 0.000 0.500
Tc1 Tc 0.000 0.000 0.000
Sb1 Sb 0.500 0.500 0.500
```

Values from the calculation:
* final energy: -34.771 eV/f.u.
* magnetization: 1.62 Bohr magnetons per cell

=====

[3]
The following is a PBE-GGA calculation of Y2Tl3 after structural relaxation, from the Alexandria database.

Geometry as CIF:
```
data_Y2Tl3
_chemical_formula_sum 'Y6 Tl9'
_symmetry_space_group_name_H-M 'R -3 m'
_symmetry_Int_Tables_number 166
_symmetry_space_group_name_Hall '-R 3 2"'
_cell_length_a 3.6331
_cell_length_b 3.6331
_cell_length_c 38.7441
_cell_angle_alpha 90.00
_cell_angle_beta 90.00
_cell_angle_gamma 120.00
loop_
_atom_site_label
_atom_site_type_symbol
_atom_site_fract_x
_atom_site_fract_y
_atom_site_fract_z
Y1 Y 0.0000 0.0000 0.1034
Tl1 Tl 0.0000 0.0000 0.2997
Tl2 Tl 0.0000 0.0000 0.5000
```

Values from the calculation:
* magnetization: 0.00 Bohr magnetons per cell
* ΔE_f: -0.14 eV per atom

=====

[4]
The following is a PBE-GGA calculation of BaBe3Cr after structural relaxation, from the Alexandria database.

Geometry as CIF:
```
data_BaBe3Cr
_chemical_formula_sum 'Ba1 Be3 Cr1'
_symmetry_space_group_name_H-M 'P m -3 m'
_symmetry_Int_Tables_number 221
_symmetry_space_group_name_Hall '-P 4 2 3'
_cell_length_a 5.175
_cell_length_b 5.175
_cell_length_c 5.175
_cell_angle_alpha 90.00
_cell_angle_beta 90.00
_cell_angle_gamma 90.00
loop_
_atom_site_label
_atom_site_type_symbol
_atom_site_fract_x
_atom_site_fract_y
_atom_site_fract_z
Ba1 Ba 0.000 0.000 0.000
Be1 Be 0.000 0.000 0.500
Cr1 Cr 0.500 0.500 0.500
```

Values from the calculation:
* magnetization: 4.41 Bohr magnetons per cell
* ΔE_f: 2.42 eV per atom

=====

[5]
The following is a PBE-GGA calculation of ScAl2Ru after structural relaxation, from the Alexandria database.

Geometry as CIF:
```
data_ScAl2Ru
_chemical_formula_sum 'Sc1 Al2 Ru1'
_symmetry_space_group_name_H-M 'P 1 2/m 1'
_symmetry_Int_Tables_number 10
_symmetry_space_group_name_Hall '-P 2y'
_cell_length_a 2.989
_cell_length_b 4.300
_cell_length_c 5.330
_cell_angle_alpha 90.00
_cell_angle_beta 105.39
_cell_angle_gamma 90.00
loop_
_atom_site_label
_atom_site_type_symbol
_atom_site_fract_x
_atom_site_fract_y
_atom_site_fract_z
Sc1 Sc 0.000 0.000 0.000
Al1 Al 0.342 0.500 0.725
Ru1 Ru 0.500 0.000 0.500
```

Values from the calculation:
* magnetization: 0.00 Bohr magnetons per cell
* ΔE_f: -0.44 eV per atom

=====

[6]
The following is a PBE-GGA calculation of CsSnF3 after structural relaxation, from the Alexandria database.

Geometry as CIF:
```
data_CsSnF3
_chemical_formula_sum 'Cs2 Sn2 F6'
_symmetry_space_group_name_H-M 'P 63/m m c'
_symmetry_Int_Tables_number 194
_symmetry_space_group_name_Hall '-P 6c 2c'
_cell_length_a 4.3250
_cell_length_b 4.3250
_cell_length_c 15.5897
_cell_angle_alpha 90.00
_cell_angle_beta 90.00
_cell_angle_gamma 120.00
loop_
_atom_site_label
_atom_site_type_symbol
_atom_site_fract_x
_atom_site_fract_y
_atom_site_fract_z
Cs1 Cs 0.0000 0.0000 0.0000
Sn1 Sn 0.3333 0.6667 0.2500
F1 F 0.0000 0.0000 0.2500
F2 F 0.3333 0.6667 0.1064
```

Values from the calculation:
* final energy: -22.432 eV/f.u.
* magnetization: 0.00 Bohr magnetons per cell

=====

[7]
The following is a PBE-GGA calculation of ZrCr2Cl after structural relaxation, from the Alexandria database.

Geometry as CIF:
```
data_ZrCr2Cl
_chemical_formula_sum 'Zr2 Cr4 Cl2'
_symmetry_space_group_name_H-M 'A m m 2'
_symmetry_Int_Tables_number 38
_symmetry_space_group_name_Hall 'A 2 -2'
_cell_length_a 3.029
_cell_length_b 3.055
_cell_length_c 14.613
_cell_angle_alpha 90.00
_cell_angle_beta 90.00
_cell_angle_gamma 90.00
loop_
_atom_site_label
_atom_site_type_symbol
_atom_site_fract_x
_atom_site_fract_y
_atom_site_fract_z
Zr1 Zr 0.000 0.000 0.000
Cr1 Cr 0.000 0.000 0.211
Cr2 Cr 0.500 0.000 0.629
Cl1 Cl 0.500 0.000 0.370
```

Values from the calculation:
* final energy: -30.098 eV/f.u.
* magnetization: 1.64 Bohr magnetons per cell

=====

[8]
The following is a PBE-GGA calculation of SrInGaPd3 after structural relaxation, from the Alexandria database.

Geometry as CIF:
```
data_SrInGaPd3
_chemical_formula_sum 'Sr4 In4 Ga4 Pd12'
_symmetry_space_group_name_H-M 'C m c m'
_symmetry_Int_Tables_number 63
_symmetry_space_group_name_Hall '-C 2c 2'
_cell_length_a 7.154
_cell_length_b 12.669
_cell_length_c 5.875
_cell_angle_alpha 90.00
_cell_angle_beta 90.00
_cell_angle_gamma 90.00
loop_
_atom_site_label
_atom_site_type_symbol
_atom_site_fract_x
_atom_site_fract_y
_atom_site_fract_z
Sr1 Sr 0.000 0.202 0.250
In1 In 0.000 0.457 0.250
Ga1 Ga 0.000 0.126 0.750
Pd1 Pd 0.000 0.325 0.750
Pd2 Pd 0.195 0.000 0.000
```

Values from the calculation:
* magnetization: 0.00 Bohr magnetons per cell
* ΔE_f: -0.48 eV per atom